Entry 1:
A plane-wave DFT calculation with GGA-PBE was carried out for an optimized crystal structure of Ta2SiAs2.

Properties
Its space group is No. 139. Its calculated density is 10.15 Mg/m³. The final energy comes out at -7.610 eV/atom.

POSCAR file:
```
Ta2SiAs2
1.0
-1.805 1.805 6.778
1.805 -1.805 6.778
1.805 1.805 -6.778
As Si Ta
2 1 2
Direct
0.750 0.250 0.500 As
0.250 0.750 0.500 As
0.000 0.000 0.000 Si
0.398 0.398 0.000 Ta
0.602 0.602 0.000 Ta
```

Entry 2:
A plane-wave DFT calculation with GGA-PBE was carried out for an optimized crystal structure of Lu4ZnCoC2.

Properties
Its space group is No. 187. Its calculated density is 9.49 Mg/m³. The final energy comes out at -5.801 eV/atom.

POSCAR file:
```
Lu4ZnCoC2
1.0
-2.324 -2.418 0.963
1.363 -0.072 -3.211
10.458 -8.210 4.624
C Co Lu Zn
2 1 4 1
Direct
0.333 0.667 0.237 C
0.333 0.667 0.763 C
0.000 0.000 0.000 Co
0.667 0.333 0.139 Lu
0.000 0.000 0.326 Lu
0.000 0.000 0.674 Lu
0.667 0.333 0.861 Lu
0.667 0.333 0.500 Zn
```

Entry 3:
A plane-wave DFT calculation with GGA-PBE was carried out for an optimized crystal structure of MgBiOs2.

Properties
Its space group is No. 216. Its calculated density is 14.35 Mg/m³. The final energy comes out at -6.239 eV/atom.

POSCAR file:
```
MgBiOs2
1.0
-0.925 -2.660 3.699
-4.360 -1.375 0.843
-1.185 -4.457 -0.581
Bi Mg Os
1 1 2
Direct
0.500 0.500 0.500 Bi
0.250 0.250 0.250 Mg
0.000 0.000 0.000 Os
0.750 0.750 0.750 Os
```

Entry 4:
A plane-wave DFT calculation with GGA-PBE was carried out for an optimized crystal structure of InSbPt2.

Properties
Its space group is No. 187. Its calculated density is 12.47 Mg/m³. The final energy comes out at -5.244 eV/atom.

POSCAR file:
```
InSbPt2
1.0
-2.144 3.584 -0.012
-1.843 -3.532 1.253
1.627 0.991 5.188
In Pt Sb
1 2 1
Direct
0.333 0.667 0.000 In
0.667 0.333 0.251 Pt
0.667 0.333 0.749 Pt
0.000 0.000 0.500 Sb
```